(1)
This record from Alexandria via LeMat-Bulk describes a relaxed structure of MnCr2S. The functional is PBE-GGA.

Cell: 5.071 5.071 5.071 Å, 104.29 104.29 120.41°
Positions (direct):
Mn1 0.000 0.000 0.000
Mn2 0.750 0.250 0.500
Cr1 0.137 0.625 0.012
Cr2 0.375 0.387 0.512
Cr3 0.613 0.125 0.988
Cr4 0.875 0.863 0.488
S1 0.250 0.750 0.500
S2 0.500 0.500 0.000

Spin magnetization ... 0.0 μB/f.u.
Mass density ... 6.50 g cm⁻³
Space-group type ... I-42d
DOS at the Fermi energy ... 15.94 states/eV/cell
E_tot ... -7.680 eV/atom



(2)
This record from Alexandria via LeMat-Bulk describes a relaxed structure of ZnGa2Pt2. The functional is PBE-GGA.

Cell: 6.711 6.711 6.711 Å, 148.02 148.02 45.85°
Positions (direct):
Zn1 0.000 0.000 0.000
Ga1 0.250 0.750 0.500
Ga2 0.750 0.250 0.500
Pt1 0.393 0.393 0.000
Pt2 0.607 0.607 0.000

Spin magnetization ... 0.0 μB/f.u.
Energy of formation from the pure elements ... -0.41 eV/atom
Mass density ... 11.70 g cm⁻³
Space-group type ... I4/mmm
Excess energy over the best structure of this formula in the dataset ... 183 meV/atom
DOS at the Fermi energy ... 2.34 states/eV/cell